Sm4GaAsSe2 after structural relaxation. Source: Alexandria via LeMat-Bulk, functional PBE.

Formation energy from raw total energies   -1.457 eV per atom
Space-group type   P2/m (10)
DOS at the Fermi energy   2.31 states/eV/f.u.
Total magnetization   0.000 μB per cell

Cell: 7.337 4.146 7.353 Å, 90.00 108.80 90.00°
Positions (direct):
Sm 0.247 0.000 0.240
Sm 0.250 0.500 0.753
Sm 0.750 0.500 0.247
Sm 0.753 0.000 0.760
Ga 0.500 0.000 0.000
As 0.000 0.500 0.000
Se 0.000 0.000 0.500
Se 0.500 0.500 0.500

Sm6GaAs2Se3 after structural relaxation. Source: Alexandria via LeMat-Bulk, functional PBE.

Formation energy from raw total energies   -1.552 eV per atom
Space-group type   C2/m (12)
DOS at the Fermi energy   3.31 states/eV/f.u.
Total magnetization   0.000 μB per cell

Cell: 9.434 9.434 8.500 Å, 103.11 103.11 25.52°
Positions (direct):
Sm 0.001 0.001 0.248
Sm 0.331 0.331 0.423
Sm 0.336 0.336 0.912
Sm 0.664 0.664 0.088
Sm 0.669 0.669 0.577
Sm 0.999 0.999 0.752
Ga 0.500 0.500 0.000
As 0.167 0.167 0.334
As 0.833 0.833 0.666
Se 0.168 0.168 0.832
Se 0.500 0.500 0.500
Se 0.832 0.832 0.168

GaSnAs2Se after structural relaxation. Source: Alexandria via LeMat-Bulk, functional PBE.

Formation energy from raw total energies   0.384 eV per atom
Space-group type   P4/mmm (123)
DOS at the Fermi energy   4.21 states/eV/f.u.
Total magnetization   0.000 μB per cell

Cell: 4.925 4.925 5.099 Å, 90.00 90.00 90.00°
Positions (direct):
Ga 0.000 0.000 0.000
Sn 0.500 0.500 0.500
As 0.000 0.500 0.000
As 0.500 0.000 0.000
Se 0.000 0.000 0.500

GaSnAsSe2 after structural relaxation. Source: Alexandria via LeMat-Bulk, functional PBE.

Formation energy from raw total energies   0.403 eV per atom
Space-group type   P4/mmm (123)
DOS at the Fermi energy   5.14 states/eV/f.u.
Total magnetization   0.000 μB per cell

Cell: 5.352 5.352 5.246 Å, 90.00 90.00 90.00°
Positions (direct):
Ga 0.000 0.000 0.000
Sn 0.500 0.500 0.500
As 0.500 0.500 0.000
Se 0.000 0.500 0.500
Se 0.500 0.000 0.500

GaSnAsSe2 after structural relaxation. Source: Alexandria via LeMat-Bulk, functional PBE.

Formation energy from raw total energies   0.210 eV per atom
Space-group type   P4/mmm (123)
DOS at the Fermi energy   4.55 states/eV/f.u.
Total magnetization   0.000 μB per cell

Cell: 5.034 5.034 4.916 Å, 90.00 90.00 90.00°
Positions (direct):
Ga 0.000 0.000 0.000
Sn 0.500 0.500 0.500
As 0.000 0.000 0.500
Se 0.000 0.500 0.000
Se 0.500 0.000 0.000

GaSnAs2Se after structural relaxation. Source: Alexandria via LeMat-Bulk, functional PBE.

Formation energy from raw total energies   0.621 eV per atom
Space-group type   P4/mmm (123)
DOS at the Fermi energy   4.70 states/eV/f.u.
Total magnetization   0.605 μB per cell

Cell: 5.277 5.277 5.380 Å, 90.00 90.00 90.00°
Positions (direct):
Ga 0.000 0.000 0.000
Sn 0.500 0.500 0.500
As 0.000 0.500 0.500
As 0.500 0.000 0.500
Se 0.500 0.500 0.000

Sr2GaAsSe5 after structural relaxation. Source: Alexandria via LeMat-Bulk, functional PBE.

Formation energy from raw total energies   -1.118 eV per atom
Space-group type   Cmc2_1 (36)
Total magnetization   0.000 μB per cell

Cell: 9.496 9.496 12.650 Å, 90.00 90.00 155.20°
Positions (direct):
Sr 0.112 0.888 0.500
Sr 0.127 0.873 0.124
Sr 0.873 0.127 0.624
Sr 0.888 0.112 0.000
Ga 0.435 0.565 0.261
Ga 0.565 0.435 0.761
As 0.218 0.782 0.842
As 0.782 0.218 0.342
Se 0.047 0.953 0.871
Se 0.280 0.720 0.483
Se 0.311 0.689 0.190
Se 0.350 0.650 0.815
Se 0.499 0.501 0.597
Se 0.501 0.499 0.097
Se 0.650 0.350 0.315
Se 0.689 0.311 0.690
Se 0.720 0.280 0.983
Se 0.953 0.047 0.371

TaGaAsSe2 after structural relaxation. Source: Alexandria via LeMat-Bulk, functional PBE.

Formation energy from raw total energies   0.930 eV per atom
Space-group type   P4/mmm (123)
DOS at the Fermi energy   5.81 states/eV/f.u.
Total magnetization   0.000 μB per cell

Cell: 4.832 4.832 4.738 Å, 90.00 90.00 90.00°
Positions (direct):
Ta 0.000 0.000 0.000
Ga 0.500 0.500 0.500
As 0.500 0.500 0.000
Se 0.000 0.500 0.500
Se 0.500 0.000 0.500

TaGaAs2Se after structural relaxation. Source: Alexandria via LeMat-Bulk, functional PBE.

Formation energy from raw total energies   0.114 eV per atom
Space-group type   P4/mmm (123)
DOS at the Fermi energy   3.58 states/eV/f.u.
Total magnetization   0.000 μB per cell

Cell: 5.054 5.054 5.030 Å, 90.00 90.00 90.00°
Positions (direct):
Ta 0.000 0.000 0.000
Ga 0.500 0.500 0.500
As 0.000 0.500 0.000
As 0.500 0.000 0.000
Se 0.000 0.000 0.500

TaGaAs2Se after structural relaxation. Source: Alexandria via LeMat-Bulk, functional PBE.

Formation energy from raw total energies   1.051 eV per atom
Space-group type   P4/mmm (123)
DOS at the Fermi energy   5.99 states/eV/f.u.
Total magnetization   0.001 μB per cell

Cell: 4.722 4.722 4.898 Å, 90.00 90.00 90.00°
Positions (direct):
Ta 0.000 0.000 0.000
Ga 0.500 0.500 0.500
As 0.000 0.500 0.500
As 0.500 0.000 0.500
Se 0.500 0.500 0.000

TaGaAsSe2 after structural relaxation. Source: Alexandria via LeMat-Bulk, functional PBE.

Formation energy from raw total energies   -0.072 eV per atom
Space-group type   P4/mmm (123)
DOS at the Fermi energy   1.70 states/eV/f.u.
Total magnetization   0.000 μB per cell

Cell: 5.049 5.049 5.080 Å, 90.00 90.00 90.00°
Positions (direct):
Ta 0.000 0.000 0.000
Ga 0.500 0.500 0.500
As 0.000 0.000 0.500
Se 0.000 0.500 0.000
Se 0.500 0.000 0.000

Tb6Ga2AsSe3 after structural relaxation. Source: Alexandria via LeMat-Bulk, functional PBE.

Formation energy from raw total energies   -1.352 eV per atom
Space-group type   C2/m (12)
DOS at the Fermi energy   4.12 states/eV/f.u.
Total magnetization   0.000 μB per cell

Cell: 9.375 9.375 8.462 Å, 106.16 106.16 24.95°
Positions (direct):
Tb 0.005 0.005 0.245
Tb 0.335 0.335 0.908
Tb 0.337 0.337 0.406
Tb 0.663 0.663 0.594
Tb 0.665 0.665 0.092
Tb 0.995 0.995 0.755
Ga 0.172 0.172 0.349
Ga 0.828 0.828 0.651
As 0.500 0.500 0.000
Se 0.163 0.163 0.842
Se 0.500 0.500 0.500
Se 0.837 0.837 0.158